# 1
This record from Alexandria via LeMat-Bulk describes Ga2TcPd2 after structural relaxation. The functional is PBE-GGA.

The space group is P4/mbm (No. 127) and the conventional cell measures 7.356, 7.356 and 2.777 Å, with angles of 90.00, 90.00 and 90.00 degrees. The asymmetric unit holds Ga at (0.152, 0.348, 0.000), Tc at (0.000, 0.000, 0.000) and Pd at (0.147, 0.647, 0.500).

The energy of formation comes out at -0.239 eV/atom. The polymorph energy (0 for the lowest one) is 0 meV/atom.

# 2
This record from Alexandria via LeMat-Bulk describes Ga2TcPd after structural relaxation. The functional is PBE-GGA.

The space group is Immm (No. 71) and the conventional cell measures 2.695, 5.004 and 9.971 Å, with angles of 90.00, 90.00 and 90.00 degrees. The asymmetric unit holds Ga at (0.000, 0.000, 0.246), Tc at (0.000, 0.000, 0.500) and Pd at (0.000, 0.000, 0.000).

The energy of formation comes out at 0.295 eV/atom. The polymorph energy (0 for the lowest one) is 688 meV/atom.

# 3
This record from Alexandria via LeMat-Bulk describes Ga8TcPd2 after structural relaxation. The functional is PBE-GGA.

The space group is C2/m (No. 12) and the conventional cell measures 10.793, 7.884 and 4.938 Å, with angles of 90.00, 103.21 and 90.00 degrees. The asymmetric unit holds Ga at (0.067, 0.229, 0.285), Ga at (0.127, 0.000, 0.852), Ga at (0.241, 0.500, 0.618), Tc at (0.000, 0.500, 0.500) and Pd at (0.132, 0.500, 0.057).

The energy of formation comes out at -0.095 eV/atom.

# 4
This record from Alexandria via LeMat-Bulk describes GaTc3Pd after structural relaxation. The functional is PBE-GGA.

The space group is Pm-3m (No. 221) and the conventional cell measures 4.753, 4.753 and 4.753 Å, with angles of 90.00, 90.00 and 90.00 degrees. The asymmetric unit holds Ga at (0.000, 0.000, 0.000), Tc at (0.000, 0.500, 0.500) and Pd at (0.500, 0.500, 0.500).

The energy of formation comes out at 2.014 eV/atom. The polymorph energy (0 for the lowest one) is 469 meV/atom.